Material: RbLi2CoF6
Method: DFT, PBE with a Hubbard U
State: relaxed

total DFT energy (no corrections)	-4.590	eV/atom

Lattice parameters (Å, degrees): 6.6635 6.6635 6.0673 90.90 90.90 101.91
Fractional positions:
1 Rb 0.0863 0.9137 0.7500
2 Rb 0.9137 0.0863 0.2500
3 Li 0.2487 0.4554 0.8329
4 Li 0.4554 0.2487 0.3329
5 Li 0.5446 0.7513 0.6671
6 Li 0.7513 0.5446 0.1671
7 Co 0.3080 0.6920 0.2500
8 Co 0.6920 0.3080 0.7500
9 F 0.0289 0.6803 0.1865
10 F 0.2660 0.6354 0.5477
11 F 0.2822 0.4103 0.1836
12 F 0.3197 0.9711 0.3135
13 F 0.3646 0.7340 0.9523
14 F 0.4103 0.2822 0.6836
15 F 0.5897 0.7178 0.3164
16 F 0.6354 0.2660 0.0477
17 F 0.6803 0.0289 0.6865
18 F 0.7178 0.5897 0.8164
19 F 0.7340 0.3646 0.4523
20 F 0.9711 0.3197 0.8135